(1)
DFT (GGA-PBE) results for crystalline BeNbOs at its relaxed geometry.

The calculation puts the offset from the most stable computed form at 0.000 eV per atom. The energy comes out at -157.86 eV/cell. Its crystal system is orthorhombic. The symmetry is Pmma. As for the energy of formation: -0.43 eV/atom.

abc: 11.409 3.177 6.609
angles: 90.00 90.00 90.00
Positions (direct):
Be 0.090 0.000 0.054
Be 0.250 0.500 0.549
Be 0.410 0.000 0.054
Be 0.590 0.000 0.946
Be 0.750 0.500 0.451
Be 0.910 0.000 0.946
Nb 0.047 0.500 0.760
Nb 0.250 0.500 0.151
Nb 0.453 0.500 0.760
Nb 0.547 0.500 0.240
Nb 0.750 0.500 0.849
Nb 0.953 0.500 0.240
Os 0.121 0.000 0.424
Os 0.250 0.000 0.805
Os 0.379 0.000 0.424
Os 0.621 0.000 0.576
Os 0.750 0.000 0.195
Os 0.879 0.000 0.576

(2)
DFT (GGA-PBE) results for crystalline KNa3Zn at its relaxed geometry.

The calculation puts the offset from the most stable computed form at 0.471 eV per atom. The energy comes out at -3.50 eV/cell. Its crystal system is cubic. The symmetry is Pm-3m. As for the energy of formation: 0.57 eV/atom.

abc: 6.803 6.803 6.803
angles: 90.00 90.00 90.00
Positions (direct):
K 0.000 0.000 0.000
Na 0.000 0.000 0.500
Na 0.000 0.500 0.000
Na 0.500 0.000 0.000
Zn 0.500 0.500 0.500

(3)
DFT (GGA-PBE) results for crystalline NaTlF2 at its relaxed geometry.

The calculation puts the offset from the most stable computed form at 0.191 eV per atom. The energy comes out at -15.43 eV/cell. Its crystal system is cubic. The symmetry is Fm-3m. The formation energy from raw total energies comes out at -2001 meV per atom.

abc: 4.577 4.577 4.577
angles: 60.00 60.00 60.00
Positions (direct):
Na 0.000 0.000 0.000
Tl 0.500 0.500 0.500
F 0.250 0.250 0.250
F 0.750 0.750 0.750

(4)
DFT (GGA-PBE) results for crystalline Pr2CuSb at its relaxed geometry.

The energy comes out at -40.61 eV/cell. Its crystal system is monoclinic. The symmetry is P2_1/m. The formation energy from raw total energies comes out at -632 meV per atom.

abc: 6.318 4.262 8.765
angles: 90.00 110.48 90.00
Positions (direct):
Pr 0.213 0.250 0.405
Pr 0.216 0.250 0.949
Pr 0.784 0.750 0.051
Pr 0.787 0.750 0.595
Cu 0.372 0.750 0.217
Cu 0.628 0.250 0.783
Sb 0.337 0.750 0.706
Sb 0.663 0.250 0.294

(5)
DFT (GGA-PBE) results for crystalline HfNiGe at its relaxed geometry.

The energy comes out at -21.45 eV/cell. Its crystal system is tetragonal. The symmetry is I4mm. As for the energy of formation: -0.37 eV/atom.

abc: 5.458 5.458 5.458
angles: 147.54 147.54 46.57
Positions (direct):
Hf 0.000 0.000 0.000
Ni 0.320 0.320 0.000
Ge 0.696 0.696 0.000

(6)
DFT (GGA-PBE) results for crystalline HfSc2Ga9 at its relaxed geometry.

The energy comes out at -55.37 eV/cell. Its crystal system is tetragonal. The symmetry is P4/mmm. As for the energy of formation: -0.46 eV/atom.

abc: 4.109 4.109 12.363
angles: 90.00 90.00 90.00
Positions (direct):
Hf 0.000 0.000 0.000
Sc 0.000 0.000 0.331
Sc 0.000 0.000 0.669
Ga 0.000 0.500 0.166
Ga 0.000 0.500 0.500
Ga 0.000 0.500 0.834
Ga 0.500 0.000 0.166
Ga 0.500 0.000 0.500
Ga 0.500 0.000 0.834
Ga 0.500 0.500 0.000
Ga 0.500 0.500 0.334
Ga 0.500 0.500 0.666

(7)
DFT (GGA-PBE) results for crystalline Te2HAu at its relaxed geometry.

The calculation puts the offset from the most stable computed form at 0.000 eV per atom. The energy comes out at -12.14 eV/cell. Its crystal system is trigonal. The symmetry is R-3m.

abc: 7.256 7.256 7.256
angles: 34.36 34.36 34.36
Positions (direct):
Te 0.097 0.097 0.097
Te 0.903 0.903 0.903
H 0.000 0.000 0.000
Au 0.500 0.500 0.500

(8)
DFT (GGA-PBE) results for crystalline Cu4Pd2Au3 at its relaxed geometry.

The calculation puts the offset from the most stable computed form at 0.000 eV per atom. The energy comes out at -37.42 eV/cell. Its crystal system is monoclinic. The symmetry is C2/m. As for the energy of formation: -0.09 eV/atom.

abc: 4.649 4.649 8.299
angles: 102.78 102.78 50.31
Positions (direct):
Cu 0.000 0.000 0.171
Cu 0.000 0.000 0.829
Cu 0.333 0.333 0.608
Cu 0.667 0.667 0.392
Pd 0.334 0.334 0.284
Pd 0.666 0.666 0.716
Au 0.000 0.000 0.500
Au 0.334 0.334 0.932
Au 0.666 0.666 0.068

Q: Among the records above, which one has the highest energy?
A: KNa3Zn